Record 1
KAlTe2Pb PBE optimized geometry; uncorrected formation energy = 0.8 eV per formula unit
1.0
5.596 0.000 0.000
0.000 5.596 0.000
0.000 0.000 5.459
Pb K Te Al
1 1 2 1
Cartesian
2.798 2.798 2.729
0.000 0.000 2.729
0.000 2.798 0.000
2.798 0.000 0.000
0.000 0.000 0.000

---

Record 2
CsCd12Sn6 PBE optimized geometry; ΔH_f (0 K) = 0.5 eV/f.u.
1.0
-4.231 -6.732 -3.360
8.406 -1.319 -1.450
-1.168 -0.291 8.548
Cs Cd Sn
1 12 6
Cartesian
0.000 0.000 0.000
-3.530 -6.327 1.108
0.833 -6.332 1.449
1.500 -4.928 4.042
-0.578 -3.188 1.873
1.508 -3.412 -0.304
2.175 -2.009 2.290
2.724 -1.605 6.612
5.318 -4.580 -2.113
6.538 -2.014 2.630
0.284 -6.736 -2.874
-2.310 -3.761 5.851
3.586 -5.152 1.865
-1.203 -5.737 -0.562
0.302 -2.572 5.288
5.006 -3.077 0.376
2.706 -5.769 -1.550
4.211 -2.604 4.301
-1.999 -5.264 3.362

---

Record 3
NdTl2Rh PBE optimized geometry; ΔH_f (0 K) = -1.4 eV/f.u.
1.0
4.699 0.000 0.000
0.000 4.699 0.000
-2.350 -2.350 8.793
Nd Tl Rh
2 4 2
Cartesian
0.000 0.000 2.502
2.350 2.350 6.291
0.000 2.350 0.000
2.350 0.000 0.000
0.000 0.000 6.125
2.350 2.350 2.668
0.000 2.350 4.397
2.350 0.000 4.397

---

Record 4
Sr2LiMg2 PBE optimized geometry; offset from the most stable computed form = 0.000 eV per atom; ΔH_f (0 K) = -0.1 eV/f.u.
1.0
-4.941 0.777 3.916
1.488 -4.142 2.699
1.290 1.473 6.487
Sr Li Mg
2 1 2
Cartesian
-2.364 0.624 7.197
0.201 -2.514 5.905
0.000 0.000 0.000
-0.501 -1.875 2.336
-2.952 -1.489 4.279

---

Record 5
PaTlCrS4 PBE optimized geometry; uncorrected formation energy = -6.6 eV per formula unit
1.0
7.540 0.000 0.000
-3.770 6.668 -1.118
0.000 -4.593 7.553
Pa Tl Cr S
2 2 2 8
Cartesian
3.770 -2.297 3.777
3.770 0.000 0.000
3.770 3.894 -0.219
0.000 -1.819 6.654
1.885 1.038 3.218
-1.885 1.038 3.218
3.770 0.268 4.583
2.105 -1.097 1.920
5.436 -1.097 1.920
3.770 1.896 1.906
0.000 0.179 4.529
1.666 3.172 4.515
-1.666 3.172 4.515
0.000 1.807 1.852

---

Record 6
Mg5Os PBE optimized geometry; offset from the most stable computed form = 0.023 eV per atom; ΔH_f (0 K) = 0.8 eV/f.u.
1.0
-1.114 2.138 2.381
-2.947 0.297 -1.646
-3.777 -7.907 5.332
Mg Os
5 1
Cartesian
-3.289 -6.885 4.643
-0.488 -1.022 0.689
-4.667 -4.302 4.090
-3.171 -1.170 1.977
-1.888 -3.954 2.666
-2.030 1.218 0.367

---

Record 7
TlBPb3 PBE optimized geometry; offset from the most stable computed form = 0.943 eV per atom; ΔH_f (0 K) = 7.7 eV/f.u.
1.0
-1.208 -5.484 1.795
4.484 0.262 3.818
-3.631 2.148 4.117
Pb Tl B
3 1 1
Cartesian
2.242 0.131 1.909
-1.816 1.074 2.059
-0.604 -2.742 0.898
0.000 0.000 0.000
-0.178 -1.537 4.865

---

Record 8
La15PmCd4 PBE optimized geometry; ΔH_f (0 K) = -2.0 eV/f.u.
1.0
-4.796 1.304 1.154
-1.717 -2.966 -3.780
-1.479 -19.731 16.153
La Pm Cd
15 1 4
Cartesian
-3.256 -0.831 -1.313
-3.555 -4.819 1.952
-3.850 -8.751 5.171
-4.142 -12.642 8.356
-4.437 -16.574 11.575
-2.551 -1.393 2.251
-2.845 -5.316 5.463
-3.138 -9.213 8.654
-3.430 -13.111 11.845
-3.724 -17.034 15.056
-1.012 -3.528 -0.216
-1.306 -7.451 2.996
-1.598 -11.349 6.187
-1.890 -15.246 9.378
-2.184 -19.169 12.589
0.000 0.000 0.000
-0.303 -4.035 3.304
-0.594 -7.917 6.481
-0.886 -11.814 9.672
-1.177 -15.696 12.850

---

| no. | DFT total energy (eV per cell) | theoretical density (g/cm³) |
| --- | --- | --- |
| 1 | -14.0 | 5.1 |
| 2 | -35.3 | 6.8 |
| 3 | -36.6 | 11.2 |
| 4 | -8.6 | 2.2 |
| 5 | -89.2 | 6.0 |
| 6 | -18.4 | 4.4 |
| 7 | -12.5 | 6.8 |
| 8 | -84.3 | 6.7 |